(1)
Li4CdAg3 | PBE | optimized geometry

Values from the calculation:
ΔE_f in eV/atom: -0.2196
ΔE to the lowest computed polymorph in meV/atom: 0.0
Total moment in Bohr magnetons per cell: 0.000

```
data_Li4CdAg3
_space_group_name_H-M_alt 'P 4/m m m'
_space_group_IT_number 123
_space_group_name_Hall '-P 4 2'
_cell_length_a 3.262
_cell_length_b 3.262
_cell_length_c 12.430
_cell_angle_alpha 90.00
_cell_angle_beta 90.00
_cell_angle_gamma 90.00
loop_
_atom_site_label
_atom_site_type_symbol
_atom_site_fract_x
_atom_site_fract_y
_atom_site_fract_z
_atom_site_occupancy
Li1 Li 0.000 0.000 0.122 1
Li2 Li 0.000 0.000 0.365 1
Cd1 Cd 0.500 0.500 0.500 1
Ag1 Ag 0.500 0.500 0.000 1
Ag2 Ag 0.500 0.500 0.243 1
```


(2)
V7Si2As2 | PBE | optimized geometry

Values from the calculation:
Formation energy without anion corrections in eV/f.u.: -4.14
Total moment in Bohr magnetons per cell: 0.000

```
data_V7Si2As2
_space_group_name_H-M_alt 'I m m 2'
_space_group_IT_number 44
_cell_length_a 3.362
_cell_length_b 12.244
_cell_length_c 7.539
_cell_angle_alpha 90.00
_cell_angle_beta 90.00
_cell_angle_gamma 90.00
loop_
_space_group_symop_operation_xyz
'x,y,z'
'-x,-y,z'
'-x,y,z'
'x,-y,z'
'x+1/2,y+1/2,z+1/2'
'-x+1/2,-y+1/2,z+1/2'
'-x+1/2,y+1/2,z+1/2'
'x+1/2,-y+1/2,z+1/2'
loop_
_atom_site_label
_atom_site_type_symbol
_atom_site_fract_x
_atom_site_fract_y
_atom_site_fract_z
_atom_site_occupancy
V1 V 0.000 0.000 0.000 1
V2 V 0.000 0.123 0.614 1
V3 V 0.000 0.322 0.376 1
V4 V 0.000 0.355 0.792 1
Si1 Si 0.000 0.000 0.356 1
Si2 Si 0.000 0.500 0.245 1
As1 As 0.000 0.226 0.085 1
```


(3)
SrHo3Fe | PBE | optimized geometry

Values from the calculation:
ΔE_f in eV/atom: 0.0727
Total moment in Bohr magnetons per cell: 0.000

```
data_SrHo3Fe
_space_group_name_H-M_alt 'P m -3 m'
_space_group_IT_number 221
_space_group_name_Hall '-P 4 2 3'
_cell_length_a 5.347
_cell_length_b 5.347
_cell_length_c 5.347
_cell_angle_alpha 90.00
_cell_angle_beta 90.00
_cell_angle_gamma 90.00
loop_
_atom_site_label
_atom_site_type_symbol
_atom_site_fract_x
_atom_site_fract_y
_atom_site_fract_z
_atom_site_occupancy
Sr1 Sr 0.000 0.000 0.000 1
Ho1 Ho 0.000 0.500 0.500 1
Fe1 Fe 0.500 0.500 0.500 1
```


(4)
TbTmPu2Te5 | PBE | optimized geometry

Values from the calculation:
Formation energy without anion corrections in eV/f.u.: -6.31
Total moment in Bohr magnetons per cell: 11.907

```
data_TbTmPu2Te5
_space_group_name_H-M_alt 'P 4/m m m'
_space_group_IT_number 123
_space_group_name_Hall '-P 4 2'
_cell_length_a 5.471
_cell_length_b 5.471
_cell_length_c 11.550
_cell_angle_alpha 90.00
_cell_angle_beta 90.00
_cell_angle_gamma 90.00
loop_
_atom_site_label
_atom_site_type_symbol
_atom_site_fract_x
_atom_site_fract_y
_atom_site_fract_z
_atom_site_occupancy
Tb1 Tb 0.000 0.000 0.000 1
Tm1 Tm 0.000 0.000 0.500 1
Pu1 Pu 0.500 0.500 0.317 1
Te1 Te 0.000 0.000 0.246 1
Te2 Te 0.000 0.500 0.500 1
Te3 Te 0.500 0.500 0.000 1
```


(5)
ThH8PtRh4 | PBE | optimized geometry

Values from the calculation:
Total DFT energy (no corrections) in eV per cell: -217.4
Total moment in Bohr magnetons per cell: 0.000

```
data_ThH8PtRh4
_space_group_name_H-M_alt 'R 3 m'
_space_group_IT_number 160
_space_group_name_Hall 'R 3 -2"'
_cell_length_a 5.6986
_cell_length_b 5.6986
_cell_length_c 13.9919
_cell_angle_alpha 90.00
_cell_angle_beta 90.00
_cell_angle_gamma 120.00
loop_
_atom_site_label
_atom_site_type_symbol
_atom_site_fract_x
_atom_site_fract_y
_atom_site_fract_z
_atom_site_occupancy
Th1 Th 0.0000 0.0000 0.0000 1
H1 H 0.0000 0.0000 0.1599 1
H2 H 0.0000 0.0000 0.6144 1
H3 H 0.1983 0.3965 0.4994 1
H4 H 0.2167 0.4334 0.9454 1
Pt1 Pt 0.0000 0.0000 0.3795 1
Rh1 Rh 0.0000 0.0000 0.7491 1
Rh2 Rh 0.1696 0.3392 0.2051 1
```


(6)
Tb2NpMn2C4 | PBE | optimized geometry

Values from the calculation:
ΔE_f in eV/atom: -0.0371
Total moment in Bohr magnetons per cell: 1.790

```
data_Tb2NpMn2C4
_space_group_name_H-M_alt 'C 1 2/m 1'
_space_group_IT_number 12
_cell_length_a 12.696
_cell_length_b 3.321
_cell_length_c 5.956
_cell_angle_alpha 90.00
_cell_angle_beta 108.41
_cell_angle_gamma 90.00
loop_
_space_group_symop_operation_xyz
'x,y,z'
'-x,-y,-z'
'-x,y,-z'
'x,-y,z'
'x+1/2,y+1/2,z'
'-x+1/2,-y+1/2,-z'
'-x+1/2,y+1/2,-z'
'x+1/2,-y+1/2,z'
loop_
_atom_site_label
_atom_site_type_symbol
_atom_site_fract_x
_atom_site_fract_y
_atom_site_fract_z
_atom_site_occupancy
Tb1 Tb 0.136 0.000 0.047 1
Np1 Np 0.000 0.000 0.500 1
Mn1 Mn 0.181 0.500 0.501 1
C1 C 0.033 0.500 0.260 1
C2 C 0.221 0.000 0.703 1
```


(7)
LaErSb2 | PBE | optimized geometry

Values from the calculation:
ΔE to the lowest computed polymorph in meV/atom: 0.0
Formation energy without anion corrections in eV/f.u.: -4.72
Total moment in Bohr magnetons per cell: 0.000

```
data_LaErSb2
_space_group_name_H-M_alt 'R -3 m'
_space_group_IT_number 166
_space_group_name_Hall '-R 3 2"'
_cell_length_a 4.4990
_cell_length_b 4.4990
_cell_length_c 21.9135
_cell_angle_alpha 90.00
_cell_angle_beta 90.00
_cell_angle_gamma 120.00
loop_
_atom_site_label
_atom_site_type_symbol
_atom_site_fract_x
_atom_site_fract_y
_atom_site_fract_z
_atom_site_occupancy
La1 La 0.0000 0.0000 0.0000 1
Er1 Er 0.0000 0.0000 0.5000 1
Sb1 Sb 0.0000 0.0000 0.2448 1
```


(8)
Ho3Bi2H2 | PBE | optimized geometry

Values from the calculation:
Total DFT energy (no corrections) in eV per cell: -33.0
Total moment in Bohr magnetons per cell: 0.000

```
data_Ho3Bi2H2
_space_group_name_H-M_alt 'P -1'
_space_group_IT_number 2
_cell_length_a 4.174
_cell_length_b 6.333
_cell_length_c 6.487
_cell_angle_alpha 72.70
_cell_angle_beta 71.27
_cell_angle_gamma 70.85
loop_
_space_group_symop_operation_xyz
'x,y,z'
'-x,-y,-z'
loop_
_atom_site_label
_atom_site_type_symbol
_atom_site_fract_x
_atom_site_fract_y
_atom_site_fract_z
_atom_site_occupancy
Ho1 Ho 0.000 0.000 0.000 1
Ho2 Ho 0.185 0.384 0.246 1
Bi1 Bi 0.421 0.797 0.360 1
H1 H 0.211 0.650 0.928 1
```


(9)
CrGaReTc | PBE | optimized geometry

Values from the calculation:
ΔE_f in eV/atom: 0.0582
Total moment in Bohr magnetons per cell: 1.352

```
data_CrGaReTc
_space_group_name_H-M_alt 'F -4 3 m'
_space_group_IT_number 216
_space_group_name_Hall 'F -4 2 3'
_cell_length_a 6.053
_cell_length_b 6.053
_cell_length_c 6.053
_cell_angle_alpha 90.00
_cell_angle_beta 90.00
_cell_angle_gamma 90.00
loop_
_atom_site_label
_atom_site_type_symbol
_atom_site_fract_x
_atom_site_fract_y
_atom_site_fract_z
_atom_site_occupancy
Cr1 Cr 0.000 0.000 0.000 1
Ga1 Ga 0.000 0.000 0.500 1
Re1 Re 0.250 0.250 0.250 1
Tc1 Tc 0.250 0.250 0.750 1
```


(10)
NaYHoIn | PBE | optimized geometry

Values from the calculation:
ΔE_f in eV/atom: -0.1349
Total moment in Bohr magnetons per cell: 0.000

```
data_NaYHoIn
_space_group_name_H-M_alt 'F -4 3 m'
_space_group_IT_number 216
_space_group_name_Hall 'F -4 2 3'
_cell_length_a 7.616
_cell_length_b 7.616
_cell_length_c 7.616
_cell_angle_alpha 90.00
_cell_angle_beta 90.00
_cell_angle_gamma 90.00
loop_
_atom_site_label
_atom_site_type_symbol
_atom_site_fract_x
_atom_site_fract_y
_atom_site_fract_z
_atom_site_occupancy
Na1 Na 0.000 0.000 0.000 1
Y1 Y 0.250 0.250 0.750 1
Ho1 Ho 0.250 0.250 0.250 1
In1 In 0.000 0.000 0.500 1
```


(11)
Ca3Sn2Bi4 | PBE | optimized geometry

Values from the calculation:
ΔE_f in eV/atom: -0.4091
ΔE to the lowest computed polymorph in meV/atom: 20.9
Total moment in Bohr magnetons per cell: 0.000

```
data_Ca3Sn2Bi4
_space_group_name_H-M_alt 'C 1 2/c 1'
_space_group_IT_number 15
_cell_length_a 15.171
_cell_length_b 8.219
_cell_length_c 10.221
_cell_angle_alpha 90.00
_cell_angle_beta 111.99
_cell_angle_gamma 90.00
loop_
_space_group_symop_operation_xyz
'x,y,z'
'-x,-y,-z'
'-x,y,-z+1/2'
'x,-y,z+1/2'
'x+1/2,y+1/2,z'
'-x+1/2,-y+1/2,-z'
'-x+1/2,y+1/2,-z+1/2'
'x+1/2,-y+1/2,z+1/2'
loop_
_atom_site_label
_atom_site_type_symbol
_atom_site_fract_x
_atom_site_fract_y
_atom_site_fract_z
_atom_site_occupancy
Ca1 Ca 0.000 0.078 0.250 1
Ca2 Ca 0.248 0.458 0.586 1
Sn1 Sn 0.100 0.213 0.003 1
Bi1 Bi 0.107 0.426 0.254 1
Bi2 Bi 0.120 0.152 0.619 1
```


(12)
Tb3Pm6NdEr2 | PBE | optimized geometry

Values from the calculation:
ΔE_f in eV/atom: 0.0134
Total moment in Bohr magnetons per cell: 0.000

```
data_Tb3Pm6NdEr2
_space_group_name_H-M_alt 'C 1 2/m 1'
_space_group_IT_number 12
_cell_length_a 6.255
_cell_length_b 10.831
_cell_length_c 11.914
_cell_angle_alpha 90.00
_cell_angle_beta 100.06
_cell_angle_gamma 90.00
loop_
_space_group_symop_operation_xyz
'x,y,z'
'-x,-y,-z'
'-x,y,-z'
'x,-y,z'
'x+1/2,y+1/2,z'
'-x+1/2,-y+1/2,-z'
'-x+1/2,y+1/2,-z'
'x+1/2,-y+1/2,z'
loop_
_atom_site_label
_atom_site_type_symbol
_atom_site_fract_x
_atom_site_fract_y
_atom_site_fract_z
_atom_site_occupancy
Tb1 Tb 0.000 0.000 0.000 1
Tb2 Tb 0.000 0.333 0.000 1
Pm1 Pm 0.249 0.167 0.250 1
Pm2 Pm 0.250 0.000 0.750 1
Nd1 Nd 0.000 0.500 0.500 1
Er1 Er 0.000 0.167 0.500 1
```


Which formula does entry 4 have? TbTmPu2Te5


Number 1 is which compound? Li4CdAg3


The highest total moment belongs to which entry? TbTmPu2Te5